No. 1
First-principles (GGA-PBE) data for an optimized crystal structure of MnBiS2, as listed in Alexandria via LeMat-Bulk.

Geometry as POSCAR:
```
MnBiS2
1.0
4.281 0.000 0.000
-2.140 3.707 0.000
0.000 0.000 22.025
Mn Bi S
3 3 6
direct
0.000 0.000 0.000 Mn
0.333 0.667 0.667 Mn
0.667 0.333 0.333 Mn
0.000 0.000 0.500 Bi
0.333 0.667 0.167 Bi
0.667 0.333 0.833 Bi
0.000 0.000 0.103 S
0.000 0.000 0.897 S
0.333 0.667 0.564 S
0.333 0.667 0.769 S
0.667 0.333 0.231 S
0.667 0.333 0.436 S
```

Summary:
**N(E_F)**: 1.53 states/eV/f.u.


No. 2
First-principles (GGA-PBE) data for an optimized crystal structure of MnBi5S8, as listed in Alexandria via LeMat-Bulk.

Geometry as POSCAR:
```
MnBi5S8
1.0
-4.861 4.861 4.067
4.861 -4.861 4.067
4.861 4.861 -4.067
Mn Bi S
1 5 8
direct
0.000 0.000 0.000 Mn
0.106 0.588 0.968 Bi
0.250 0.750 0.500 Bi
0.412 0.379 0.517 Bi
0.621 0.138 0.032 Bi
0.862 0.894 0.483 Bi
0.329 0.132 0.715 S
0.336 0.058 0.193 S
0.385 0.671 0.803 S
0.418 0.615 0.285 S
0.857 0.664 0.722 S
0.866 0.143 0.807 S
0.868 0.582 0.197 S
0.942 0.134 0.278 S
```

Summary:
**N(E_F)**: 3.13 states/eV/f.u.


No. 3
First-principles (GGA-PBE) data for an optimized crystal structure of MnBi2S, as listed in Alexandria via LeMat-Bulk.

Geometry as POSCAR:
```
MnBi2S
1.0
6.108 0.000 0.000
0.000 6.108 0.000
0.000 0.000 13.717
Mn Bi S
4 8 4
direct
0.000 0.000 0.000 Mn
0.000 0.500 0.250 Mn
0.500 0.000 0.750 Mn
0.500 0.500 0.500 Mn
0.230 0.250 0.125 Bi
0.250 0.730 0.375 Bi
0.250 0.770 0.875 Bi
0.270 0.250 0.625 Bi
0.730 0.750 0.625 Bi
0.750 0.230 0.875 Bi
0.750 0.270 0.375 Bi
0.770 0.750 0.125 Bi
0.000 0.000 0.500 S
0.000 0.500 0.750 S
0.500 0.000 0.250 S
0.500 0.500 0.000 S
```

Summary:
**N(E_F)**: 1.79 states/eV/f.u.


No. 4
First-principles (GGA-PBE) data for an optimized crystal structure of MnBiSbS2, as listed in Alexandria via LeMat-Bulk.

Geometry as POSCAR:
```
MnBiSbS2
1.0
5.117 0.000 0.000
0.000 5.117 0.000
0.000 0.000 5.153
Mn Bi Sb S
1 1 1 2
direct
0.000 0.000 0.000 Mn
0.500 0.500 0.000 Bi
0.000 0.000 0.500 Sb
0.000 0.500 0.500 S
0.500 0.000 0.500 S
```

Summary:
**N(E_F)**: 3.26 states/eV/f.u.


No. 5
First-principles (GGA-PBE) data for an optimized crystal structure of MnTl3Bi3S8, as listed in Alexandria via LeMat-Bulk.

Geometry as POSCAR:
```
MnTl3Bi3S8
1.0
3.987 2.302 7.596
-3.987 2.302 7.596
0.000 -4.603 7.596
Mn Tl Bi S
1 3 3 8
direct
0.000 0.000 0.000 Mn
0.000 0.000 0.500 Tl
0.000 0.500 0.000 Tl
0.500 0.000 0.000 Tl
0.000 0.500 0.500 Bi
0.500 0.000 0.500 Bi
0.500 0.500 0.000 Bi
0.204 0.204 0.775 S
0.204 0.775 0.204 S
0.225 0.796 0.796 S
0.262 0.262 0.262 S
0.738 0.738 0.738 S
0.775 0.204 0.204 S
0.796 0.225 0.796 S
0.796 0.796 0.225 S
```

Summary:
**N(E_F)**: 1.11 states/eV/f.u.


No. 6
First-principles (GGA-PBE) data for an optimized crystal structure of YMn2BiS, as listed in Alexandria via LeMat-Bulk.

Geometry as POSCAR:
```
YMn2BiS
1.0
5.500 0.000 0.000
0.000 5.500 0.000
0.000 0.000 4.940
Y Mn Bi S
1 2 1 1
direct
0.000 0.000 0.000 Y
0.000 0.500 0.000 Mn
0.500 0.000 0.000 Mn
0.500 0.500 0.500 Bi
0.000 0.000 0.500 S
```

Summary:
**N(E_F)**: 3.25 states/eV/f.u.


No. 7
First-principles (GGA-PBE) data for an optimized crystal structure of Mn3BiSb, as listed in Alexandria via LeMat-Bulk.

Geometry as POSCAR:
```
Mn3BiSb
1.0
5.021 0.000 0.000
0.000 5.021 0.000
0.000 0.000 5.021
Mn Bi Sb
3 1 1
direct
0.000 0.000 0.500 Mn
0.000 0.500 0.000 Mn
0.500 0.000 0.000 Mn
0.500 0.500 0.500 Bi
0.000 0.000 0.000 Sb
```

Summary:
**N(E_F)**: 9.48 states/eV/f.u.


No. 8
First-principles (GGA-PBE) data for an optimized crystal structure of MnBi2Sb2, as listed in Alexandria via LeMat-Bulk.

Geometry as POSCAR:
```
MnBi2Sb2
1.0
6.978 0.000 0.000
0.000 6.978 0.000
0.000 0.000 5.577
Mn Bi Sb
2 4 4
direct
0.000 0.000 0.000 Mn
0.500 0.500 0.000 Mn
0.163 0.337 0.000 Bi
0.337 0.837 0.000 Bi
0.663 0.163 0.000 Bi
0.837 0.663 0.000 Bi
0.157 0.657 0.500 Sb
0.343 0.157 0.500 Sb
0.657 0.843 0.500 Sb
0.843 0.343 0.500 Sb
```

Summary:
**N(E_F)**: 6.40 states/eV/f.u.


No. 9
First-principles (GGA-PBE) data for an optimized crystal structure of MnBi2Sb2, as listed in Alexandria via LeMat-Bulk.

Geometry as POSCAR:
```
MnBi2Sb2
1.0
3.921 0.000 0.000
0.000 3.921 0.000
0.000 0.000 20.002
Mn Bi Sb
2 4 4
direct
0.000 0.000 0.000 Mn
0.500 0.500 0.500 Mn
0.000 0.000 0.425 Bi
0.000 0.000 0.575 Bi
0.500 0.500 0.075 Bi
0.500 0.500 0.925 Bi
0.000 0.500 0.250 Sb
0.000 0.500 0.750 Sb
0.500 0.000 0.250 Sb
0.500 0.000 0.750 Sb
```

Summary:
**N(E_F)**: 3.98 states/eV/f.u.


No. 10
First-principles (GGA-PBE) data for an optimized crystal structure of Mn4BiSb3, as listed in Alexandria via LeMat-Bulk.

Geometry as POSCAR:
```
Mn4BiSb3
1.0
4.158 0.000 0.000
0.000 5.660 0.000
0.000 0.000 7.195
Mn Bi Sb
4 1 3
direct
0.000 0.245 0.000 Mn
0.000 0.755 0.000 Mn
0.500 0.247 0.485 Mn
0.500 0.753 0.485 Mn
0.500 0.500 0.824 Bi
0.000 0.000 0.660 Sb
0.000 0.500 0.327 Sb
0.500 0.000 0.157 Sb
```

Summary:
**N(E_F)**: 4.75 states/eV/f.u.


No. 11
First-principles (GGA-PBE) data for an optimized crystal structure of MnBiSb2, as listed in Alexandria via LeMat-Bulk.

Geometry as POSCAR:
```
MnBiSb2
1.0
6.386 0.000 0.000
0.000 6.386 0.000
0.000 0.000 12.407
Mn Bi Sb
4 4 8
direct
0.000 0.000 0.000 Mn
0.000 0.500 0.250 Mn
0.500 0.000 0.750 Mn
0.500 0.500 0.500 Mn
0.000 0.000 0.500 Bi
0.000 0.500 0.750 Bi
0.500 0.000 0.250 Bi
0.500 0.500 0.000 Bi
0.171 0.250 0.125 Sb
0.250 0.671 0.375 Sb
0.250 0.829 0.875 Sb
0.329 0.250 0.625 Sb
0.671 0.750 0.625 Sb
0.750 0.171 0.875 Sb
0.750 0.329 0.375 Sb
0.829 0.750 0.125 Sb
```

Summary:
**N(E_F)**: 5.34 states/eV/f.u.


No. 12
First-principles (GGA-PBE) data for an optimized crystal structure of MnBiSb, as listed in Alexandria via LeMat-Bulk.

Geometry as POSCAR:
```
MnBiSb
1.0
3.630 0.000 0.000
0.000 6.884 0.000
0.000 0.000 17.983
Mn Bi Sb
6 6 6
direct
0.000 0.213 0.000 Mn
0.000 0.257 0.339 Mn
0.000 0.264 0.673 Mn
0.500 0.736 0.173 Mn
0.500 0.743 0.839 Mn
0.500 0.787 0.500 Mn
0.000 0.596 0.942 Bi
0.000 0.625 0.602 Bi
0.000 0.897 0.738 Bi
0.500 0.103 0.238 Bi
0.500 0.375 0.102 Bi
0.500 0.404 0.442 Bi
0.000 0.611 0.273 Sb
0.000 0.871 0.075 Sb
0.000 0.897 0.400 Sb
0.500 0.103 0.900 Sb
0.500 0.129 0.575 Sb
0.500 0.389 0.773 Sb
```

Summary:
**N(E_F)**: 2.09 states/eV/f.u.


| no. | E_tot (eV per atom) |
| --- | --- |
| 1 | -5.35 |
| 2 | -4.67 |
| 3 | -4.84 |
| 4 | -4.50 |
| 5 | -4.45 |
| 6 | -5.76 |
| 7 | -6.24 |
| 8 | -4.37 |
| 9 | -4.24 |
| 10 | -6.58 |
| 11 | -4.82 |
| 12 | -5.59 |